{
  "formula": "ReTcAg3",
  "functional": "PBE",
  "state": "relaxed",
  "n_ef_per_ev_atom": 0.700,
  "de_polymorph_ev_per_atom": 0.000,
  "dft_energy_ev_per_fu": -20.30,
  "sg": "Pm-3m",
  "delta_e_f_mev_per_atom": 2213.9,
  "vol_a3_per_cell": 125.5,
  "cell": [[5.006, 0.000, 0.000], [0.000, 5.006, 0.000], [0.000, 0.000, 5.006]],
  "species": ["Re", "Tc", "Ag", "Ag", "Ag"],
  "fractional_positions": [[0.000, 0.000, 0.000], [0.500, 0.500, 0.500], [0.000, 0.000, 0.500], [0.000, 0.500, 0.000], [0.500, 0.000, 0.000]]
}

=====

{
  "formula": "ReTc2Ag",
  "functional": "PBE",
  "state": "relaxed",
  "n_ef_per_ev_atom": 1.247,
  "de_polymorph_ev_per_atom": 0.233,
  "dft_energy_ev_per_fu": -34.18,
  "sg": "Cmmm",
  "delta_e_f_mev_per_atom": 463.1,
  "vol_a3_per_cell": 60.7,
  "cell": [[2.792, -3.927, 0.000], [2.792, 3.927, 0.000], [0.000, 0.000, 2.769]],
  "species": ["Re", "Tc", "Tc", "Ag"],
  "fractional_positions": [[0.000, 0.000, 0.000], [0.000, 0.500, 0.500], [0.500, 0.000, 0.500], [0.500, 0.500, 0.000]]
}

=====

{
  "formula": "ReTc2Ag",
  "functional": "PBE",
  "state": "relaxed",
  "n_ef_per_ev_atom": 1.047,
  "de_polymorph_ev_per_atom": 0.363,
  "dft_energy_ev_per_fu": -33.66,
  "sg": "P4mm",
  "delta_e_f_mev_per_atom": 593.4,
  "vol_a3_per_cell": 63.9,
  "cell": [[3.286, 0.000, 0.000], [0.000, 3.286, 0.000], [0.000, 0.000, 5.914]],
  "species": ["Re", "Tc", "Tc", "Ag"],
  "fractional_positions": [[0.000, 0.000, 0.000], [0.000, 0.000, 0.427], [0.500, 0.500, 0.194], [0.500, 0.500, 0.707]]
}

=====

{
  "formula": "ReTcAg2",
  "functional": "PBE",
  "state": "relaxed",
  "n_ef_per_ev_atom": 1.146,
  "de_polymorph_ev_per_atom": 0.555,
  "dft_energy_ev_per_fu": -25.47,
  "sg": "F-43m",
  "delta_e_f_mev_per_atom": 761.8,
  "vol_a3_per_cell": 64.4,
  "cell": [[0.000, 3.181, 3.181], [3.181, 0.000, 3.181], [3.181, 3.181, 0.000]],
  "species": ["Re", "Tc", "Ag", "Ag"],
  "fractional_positions": [[0.000, 0.000, 0.000], [0.250, 0.250, 0.250], [0.500, 0.500, 0.500], [0.750, 0.750, 0.750]]
}